Record 1
Entry from the Alexandria database: an optimized crystal structure of CdPtAu2 (PBE).

Geometry as CIF:
```
data_CdPtAu2
_cell_length_a 2.986
_cell_length_b 2.986
_cell_length_c 8.019
_cell_angle_alpha 90.00
_cell_angle_beta 90.00
_cell_angle_gamma 90.00
_space_group_name_H-M_alt 'P 1'
_space_group_IT_number 1
_space_group_name_Hall 'P 1'
loop_
_atom_site_label
_atom_site_fract_x
_atom_site_fract_y
_atom_site_fract_z
Cd1 0.000 0.000 0.000
Pt1 0.500 0.500 0.239
Au1 0.000 0.000 0.481
Au2 0.500 0.500 0.737
```

VASP energy ... -3.4874 eV/atom
Density of states at the Fermi level ... 2.15 states/eV/cell


Record 2
Entry from the Alexandria database: an optimized crystal structure of InSnAs2 (PBE).

Geometry as CIF:
```
data_InSnAs2
_cell_length_a 7.500
_cell_length_b 7.500
_cell_length_c 7.500
_cell_angle_alpha 35.29
_cell_angle_beta 35.29
_cell_angle_gamma 35.29
_space_group_name_H-M_alt 'P 1'
_space_group_IT_number 1
_space_group_name_Hall 'P 1'
loop_
_atom_site_label
_atom_site_fract_x
_atom_site_fract_y
_atom_site_fract_z
In1 0.000 0.000 0.000
Sn1 0.500 0.500 0.500
As1 0.129 0.129 0.129
As2 0.629 0.629 0.629
```

VASP energy ... -4.0693 eV/atom
Density of states at the Fermi level ... 2.11 states/eV/cell


Record 3
Entry from the Alexandria database: an optimized crystal structure of BaY2Sb (PBE).

Geometry as CIF:
```
data_BaY2Sb
_cell_length_a 3.925
_cell_length_b 3.925
_cell_length_c 9.268
_cell_angle_alpha 90.00
_cell_angle_beta 90.00
_cell_angle_gamma 90.00
_space_group_name_H-M_alt 'P 1'
_space_group_IT_number 1
_space_group_name_Hall 'P 1'
loop_
_atom_site_label
_atom_site_fract_x
_atom_site_fract_y
_atom_site_fract_z
Ba1 0.000 0.000 0.000
Y1 0.500 0.500 0.321
Y2 0.500 0.500 0.679
Sb1 0.000 0.000 0.500
```

VASP energy ... -5.0905 eV/atom
E_form (uncorrected) ... -347 meV per atom
Density of states at the Fermi level ... 5.11 states/eV/cell


Record 4
Entry from the Alexandria database: an optimized crystal structure of CsCr4 (PBE).

Geometry as CIF:
```
data_CsCr4
_cell_length_a 5.069
_cell_length_b 5.069
_cell_length_c 5.069
_cell_angle_alpha 90.00
_cell_angle_beta 90.00
_cell_angle_gamma 90.00
_space_group_name_H-M_alt 'P 1'
_space_group_IT_number 1
_space_group_name_Hall 'P 1'
loop_
_atom_site_label
_atom_site_fract_x
_atom_site_fract_y
_atom_site_fract_z
Cs1 0.000 0.000 0.000
Cr1 0.000 0.000 0.500
Cr2 0.000 0.500 0.000
Cr3 0.500 0.000 0.000
Cr4 0.500 0.500 0.500
```

VASP energy ... -5.1329 eV/atom
Density of states at the Fermi level ... 3.32 states/eV/cell


Record 5
Entry from the Alexandria database: an optimized crystal structure of SrCdSbBr (PBE).

Geometry as CIF:
```
data_SrCdSbBr
_cell_length_a 14.268
_cell_length_b 14.268
_cell_length_c 14.268
_cell_angle_alpha 19.20
_cell_angle_beta 19.20
_cell_angle_gamma 19.20
_space_group_name_H-M_alt 'P 1'
_space_group_IT_number 1
_space_group_name_Hall 'P 1'
loop_
_atom_site_label
_atom_site_fract_x
_atom_site_fract_y
_atom_site_fract_z
Sr1 0.095 0.095 0.095
Sr2 0.905 0.905 0.905
Cd1 0.309 0.309 0.309
Cd2 0.691 0.691 0.691
Sb1 0.381 0.381 0.381
Sb2 0.619 0.619 0.619
Br1 0.204 0.204 0.204
Br2 0.796 0.796 0.796
```

VASP energy ... -3.2038 eV/atom
E_form (uncorrected) ... -1106 meV per atom
Density of states at the Fermi level ... 0.08 states/eV/cell


Record 6
Entry from the Alexandria database: an optimized crystal structure of GeBiF2 (PBE).

Geometry as CIF:
```
data_GeBiF2
_cell_length_a 9.723
_cell_length_b 9.723
_cell_length_c 9.723
_cell_angle_alpha 20.43
_cell_angle_beta 20.43
_cell_angle_gamma 20.43
_space_group_name_H-M_alt 'P 1'
_space_group_IT_number 1
_space_group_name_Hall 'P 1'
loop_
_atom_site_label
_atom_site_fract_x
_atom_site_fract_y
_atom_site_fract_z
Ge1 0.000 0.000 0.000
Bi1 0.500 0.500 0.500
F1 0.371 0.371 0.371
F2 0.629 0.629 0.629
```

VASP energy ... -4.2901 eV/atom
E_form (uncorrected) ... -1230 meV per atom
Density of states at the Fermi level ... 1.08 states/eV/cell


Record 7
Entry from the Alexandria database: an optimized crystal structure of Ba2SbRu (PBE).

Geometry as CIF:
```
data_Ba2SbRu
_cell_length_a 5.203
_cell_length_b 5.203
_cell_length_c 4.678
_cell_angle_alpha 90.00
_cell_angle_beta 90.00
_cell_angle_gamma 90.00
_space_group_name_H-M_alt 'P 1'
_space_group_IT_number 1
_space_group_name_Hall 'P 1'
loop_
_atom_site_label
_atom_site_fract_x
_atom_site_fract_y
_atom_site_fract_z
Ba1 0.000 0.500 0.000
Ba2 0.500 0.000 0.000
Sb1 0.000 0.000 0.500
Ru1 0.500 0.500 0.500
```

VASP energy ... -4.2104 eV/atom
E_form (uncorrected) ... 101 meV per atom
Density of states at the Fermi level ... 5.55 states/eV/cell


Record 8
Entry from the Alexandria database: an optimized crystal structure of SbPSe (PBE).

Geometry as CIF:
```
data_SbPSe
_cell_length_a 7.627
_cell_length_b 7.129
_cell_length_c 3.557
_cell_angle_alpha 84.00
_cell_angle_beta 68.37
_cell_angle_gamma 27.63
_space_group_name_H-M_alt 'P 1'
_space_group_IT_number 1
_space_group_name_Hall 'P 1'
loop_
_atom_site_label
_atom_site_fract_x
_atom_site_fract_y
_atom_site_fract_z
Sb1 0.000 0.000 0.000
P1 0.666 0.666 0.334
Se1 0.286 0.286 0.714
```

VASP energy ... -3.8878 eV/atom
E_form (uncorrected) ... 451 meV per atom
Density of states at the Fermi level ... 1.94 states/eV/cell